Below is PrSb3Se6 after structural relaxation, with properties calculated at the PBE level.

Cell: 4.081 12.405 12.237 Å, 106.30 90.00 90.00°
Atoms (fractional coordinates):
Sb 0.750 0.705 0.461
Sb 0.750 0.434 0.839
Sb 0.250 0.295 0.539
Sb 0.250 0.850 0.898
Sb 0.750 0.150 0.102
Sb 0.250 0.566 0.161
Se 0.750 0.415 0.096
Se 0.250 0.890 0.531
Se 0.250 0.232 0.730
Se 0.250 0.545 0.376
Se 0.750 0.110 0.469
Se 0.750 0.768 0.270
Se 0.750 0.455 0.624
Se 0.750 0.799 0.745
Se 0.250 0.061 0.889
Se 0.750 0.939 0.111
Se 0.250 0.201 0.255
Se 0.250 0.585 0.904
Pr 0.250 0.965 0.310
Pr 0.750 0.035 0.690

Magnetic moment (μB per atom): 0.00
E_form (uncorrected) (kJ per mole of atoms): -65